The following is a PBE calculation of a relaxed BaCoRe2 crystal, from the Alexandria database.

Results
* E_form: 130.6 kJ per mole of atoms
* space group: No. 47
* energy above the lowest structure with this stoichiometry: 331 kJ/mol of formula units

Cell lengths 3.0859, 4.4600, 5.4920 Å; angles 90.00, 90.00, 90.00 degrees
Closest atoms and distances in Å follow each position.
Positions (direct):
Ba (0.0000, 0.0000, 0.0000)  4 Co 2.71
Co (0.5000, 0.5000, 0.0000)  4 Ba 2.71
Re (0.0000, 0.5000, 0.5000)  4 Re 2.71
Re (0.5000, 0.0000, 0.5000)  4 Re 2.71

The following is a PBE calculation of a relaxed Ac4Cd2In crystal, from the Alexandria database.

Results
* E_form: -19.8 kJ per mole of atoms
* space group: No. 166

Cell lengths 9.7387, 9.7387, 9.7387 Å; angles 34.21, 34.21, 34.21 degrees
Closest atoms and distances in Å follow each position.
Positions (direct):
Ac (0.1195, 0.1195, 0.1195)  4 Cd 3.43-3.51, 3 In 3.55
Ac (0.3717, 0.3717, 0.3717)  4 Cd 3.42-3.56, 1 In 3.53
Ac (0.6283, 0.6283, 0.6283)  4 Cd 3.42-3.56, 1 In 3.53
Ac (0.8805, 0.8805, 0.8805)  4 Cd 3.43-3.51, 3 In 3.55
Cd (0.2472, 0.2472, 0.2472)  8 Ac 3.42-3.56
Cd (0.7528, 0.7528, 0.7528)  8 Ac 3.42-3.56
In (0.5000, 0.5000, 0.5000)  8 Ac 3.53-3.55

The following is a PBE calculation of a relaxed Si3Pt crystal, from the Alexandria database.

Results
* raw formation energy: -0.25 kJ/mol of atoms
* space group: No. 12

Cell lengths 3.9320, 3.9320, 5.7451 Å; angles 105.89, 105.89, 48.67 degrees
Closest atoms and distances in Å follow each position.
Positions (direct):
Si (0.0000, 0.0000, 0.0000)  6 Si 2.55-2.72
Si (0.2532, 0.2532, 0.7302)  3 Pt 2.49-2.51, 3 Si 2.55-2.72
Si (0.7468, 0.7468, 0.2698)  3 Pt 2.49-2.51, 3 Si 2.55-2.72
Pt (0.5000, 0.5000, 0.5000)  6 Si 2.49-2.51

The following is a PBE calculation of a relaxed AcLa2Pm5Sm crystal, from the Alexandria database.

Results
* E_form: 23.8 kJ per mole of atoms
* space group: No. 140

Cell lengths 10.3388, 10.3388, 10.3388 Å; angles 128.88, 128.88, 75.20 degrees
Closest atoms and distances in Å follow each position.
Positions (direct):
Ac (0.2500, 0.7500, 0.5000)  4 Pm 3.29
Ac (0.7500, 0.2500, 0.5000)  4 Pm 3.29
La (0.1173, 0.6173, 0.7347)  1 La 2.96, 2 Pm 3.08
La (0.3827, 0.1173, 0.5000)  1 La 2.96, 2 Pm 3.08
La (0.6173, 0.8827, 0.5000)  1 La 2.96, 2 Pm 3.08
La (0.8827, 0.3827, 0.2653)  1 La 2.96, 2 Pm 3.08
Pm (0.0000, 0.0000, 0.0000)  4 La 3.57, 8 Pm 3.90
Pm (0.0789, 0.1459, 0.5000)  1 La 3.08, 1 Ac 3.29
Pm (0.1459, 0.6459, 0.0670)  1 La 3.08, 1 Ac 3.29
Pm (0.3541, 0.4211, 0.5000)  1 La 3.08, 1 Ac 3.29
Pm (0.4211, 0.9211, 0.0670)  1 La 3.08, 1 Ac 3.29
Pm (0.5000, 0.5000, 0.0000)  4 La 3.57, 8 Pm 3.90
Pm (0.5789, 0.0789, 0.9330)  1 La 3.08, 1 Ac 3.29
Pm (0.6459, 0.5789, 0.5000)  1 La 3.08, 1 Ac 3.29
Pm (0.8541, 0.3541, 0.9330)  1 La 3.08, 1 Ac 3.29
Pm (0.9211, 0.8541, 0.5000)  1 La 3.08, 1 Ac 3.29
Sm (0.2500, 0.2500, 0.0000)  10 Pm 3.68-4.10
Sm (0.7500, 0.7500, 0.0000)  10 Pm 3.68-4.10

The following is a PBE calculation of a relaxed K3AsAu crystal, from the Alexandria database.

Results
* E_form: -32.1 kJ per mole of atoms
* space group: No. 14
* energy above the lowest structure with this stoichiometry: 0 kJ/mol of formula units

Cell lengths 6.8702, 9.5379, 10.7049 Å; angles 90.00, 90.02, 90.00 degrees
Closest atoms and distances in Å follow each position.
Positions (direct):
K (0.2328, 0.0432, 0.1203)  3 As 3.49-3.53, 3 Au 3.60-3.63, 2 K 3.82-3.84
K (0.2328, 0.4568, 0.6203)  3 As 3.49-3.53, 3 Au 3.60-3.63, 2 K 3.82-3.84
K (0.2353, 0.0440, 0.6298)  3 As 3.48-3.52, 3 Au 3.56-3.62, 2 K 3.72-3.83
K (0.2353, 0.4560, 0.1298)  3 As 3.48-3.52, 3 Au 3.56-3.62, 2 K 3.72-3.83
K (0.2352, 0.7373, 0.8751)  2 As 3.41, 2 Au 3.49, 2 K 3.72-3.82
K (0.2352, 0.7627, 0.3751)  2 As 3.41, 2 Au 3.49, 2 K 3.72-3.82
K (0.7648, 0.2373, 0.6249)  2 As 3.41, 2 Au 3.49, 2 K 3.72-3.82
K (0.7648, 0.2627, 0.1249)  2 As 3.41, 2 Au 3.49, 2 K 3.72-3.82
K (0.7647, 0.5440, 0.8702)  3 As 3.48-3.52, 3 Au 3.56-3.62, 2 K 3.72-3.83
K (0.7647, 0.9560, 0.3702)  3 As 3.48-3.52, 3 Au 3.56-3.62, 2 K 3.72-3.83
K (0.7672, 0.5432, 0.3797)  3 As 3.49-3.53, 3 Au 3.60-3.63, 2 K 3.82-3.84
K (0.7672, 0.9568, 0.8797)  3 As 3.49-3.53, 3 Au 3.60-3.63, 2 K 3.82-3.84
As (0.0724, 0.2452, 0.3749)  1 Au 2.52
As (0.0724, 0.2548, 0.8749)  1 Au 2.52
As (0.9276, 0.7452, 0.1251)  1 Au 2.52
As (0.9276, 0.7548, 0.6251)  1 Au 2.52
Au (0.4390, 0.2462, 0.3749)  1 As 2.52
Au (0.4390, 0.2538, 0.8749)  1 As 2.52
Au (0.5610, 0.7462, 0.1251)  1 As 2.52
Au (0.5610, 0.7538, 0.6251)  1 As 2.52

The following is a PBE calculation of a relaxed NaSrPrSn crystal, from the Alexandria database.

Results
* E_form: -31.7 kJ per mole of atoms
* space group: No. 216

Cell lengths 5.6636, 5.6636, 5.6636 Å; angles 60.00, 60.00, 60.00 degrees
Closest atoms and distances in Å follow each position.
Positions (direct):
Na (0.0000, 0.0000, 0.0000)  4 Sr 3.47, 4 Pr 3.47
Sr (0.7500, 0.7500, 0.7500)  4 Sn 3.47, 4 Na 3.47
Pr (0.2500, 0.2500, 0.2500)  4 Sn 3.47, 4 Na 3.47
Sn (0.5000, 0.5000, 0.5000)  4 Sr 3.47, 4 Pr 3.47

no.,Fermi-level density of states (states/eV per atom)
1,1.5046
2,1.2362
3,0.2363
4,1.5552
5,0.3910
6,0.6694